Entry from the Alexandria database: an optimized crystal structure of Ac2CuSb3Rh4 (PBE).

```
Ac2CuSb3Rh4
1.0
4.5046 0.0000 0.0000
0.0000 4.5046 0.0000
0.0000 0.0000 10.8133
Ac Cu Sb Rh
2 1 3 4
direct
0.0000 0.5000 0.2381 Ac
0.5000 0.0000 0.7619 Ac
0.5000 0.5000 0.0000 Cu
0.0000 0.0000 0.0000 Sb
0.0000 0.5000 0.6324 Sb
0.5000 0.0000 0.3676 Sb
0.0000 0.0000 0.5000 Rh
0.0000 0.5000 0.8737 Rh
0.5000 0.0000 0.1263 Rh
0.5000 0.5000 0.5000 Rh
```

* SG: No. 115
* uncorrected formation energy: -7.448 eV/f.u.